Density functional theory data (PBE+U) for MnVAg2F after structural relaxation.

Values from the calculation:
- DFT total energy: -21.5 eV/cell
- SG: P4/mmm (123)
- DOS at the Fermi energy: 0.44 states/eV/atom

Cell: 5.061 5.061 3.886 Å, 90.00 90.00 90.00°
Fractional coordinates of all 5 atoms:
Mn  0.000  0.000  0.000
V  0.500  0.500  0.000
Ag  0.000  0.500  0.500
Ag  0.500  0.000  0.500
F  0.000  0.000  0.500